# 1
Here is SrOs after structural relaxation from Alexandria. Energies are from PBE.

```
2
Lattice="3.625 0.000 0.000 0.000 3.625 0.000 0.000 0.000 3.625" Properties=species:S:1:pos:R:3 pbc="T T T"
Sr 0.000 0.000 0.000
Os 1.812 1.812 1.812
```

As for the total energy: -10.24 eV/f.u. Its space group is No. 221. The calculation puts the magnetization at 1.29 μB/f.u.

---

# 2
Here is SbMo2 after structural relaxation from Alexandria. Energies are from PBE.

```
6
Lattice="4.734 0.000 0.000 -2.367 4.100 0.000 0.000 0.000 5.418" Properties=species:S:1:pos:R:3 pbc="T T T"
Sb 0.000 2.733 1.354
Sb 2.367 1.367 4.063
Mo 0.000 0.000 0.000
Mo 0.000 0.000 2.709
Mo 0.000 2.733 4.063
Mo 2.367 1.367 1.354
```

The formation energy from raw total energies comes out at 0.446 eV/atom. Its space group is No. 194. The calculation puts the magnetization at 0.00 μB/f.u. The value obtained for the polymorph energy (0 for the lowest one) is 245 meV per atom.

---

# 3
Here is Yb4Al24Pt9 after structural relaxation from Alexandria. Energies are from PBE.

```
37
Lattice="7.515 0.000 0.000 3.744 6.518 0.000 2.502 0.004 13.056" Properties=species:S:1:pos:R:3 pbc="T T T"
Yb 2.485 2.165 4.014
Yb 7.485 6.517 9.043
Yb 6.277 0.005 4.013
Yb 11.277 4.357 9.042
Al 3.747 4.345 5.824
Al 3.799 4.338 2.224
Al 2.500 2.172 0.765
Al 3.753 0.012 12.292
Al 5.486 5.673 4.122
Al 6.280 4.307 10.854
Al 6.250 4.354 7.127
Al 3.761 0.006 5.825
Al 5.489 2.989 4.132
Al 5.958 2.189 8.920
Al 7.484 6.479 2.222
Al 6.254 4.353 0.787
Al 7.508 2.170 12.269
Al 6.278 0.044 10.834
Al 7.804 4.334 4.136
Al 8.273 3.534 8.924
Al 10.001 6.517 7.231
Al 7.512 2.169 5.929
Al 7.482 2.216 2.202
Al 8.276 0.850 8.934
Al 10.009 6.511 0.765
Al 11.262 4.351 12.291
Al 9.963 2.184 10.833
Al 10.015 2.178 7.232
Pt 1.251 0.002 6.528
Pt 1.225 0.047 1.793
Pt 4.949 2.177 11.264
Pt 4.958 2.148 6.530
Pt 4.980 2.127 1.777
Pt 8.782 4.396 11.279
Pt 8.804 4.375 6.527
Pt 8.813 4.346 1.792
Pt 12.536 6.475 11.263
```

As for the total energy: -182.65 eV/f.u. Its space group is No. 2. The calculation puts the magnetization at 0.96 μB/f.u.

---

# 4
Here is PmH8Rh4 after structural relaxation from Alexandria. Energies are from PBE.

```
13
Lattice="4.526 -2.794 0.000 4.526 2.794 0.000 -2.800 0.000 4.635" Properties=species:S:1:pos:R:3 pbc="T T T"
Pm 0.000 0.000 0.000
H 2.033 1.127 0.928
H -0.331 0.000 2.503
H 2.055 0.000 3.498
H 2.033 -1.127 0.928
H 4.220 1.127 3.706
H 4.197 0.000 1.136
H 6.583 0.000 2.132
H 4.220 -1.127 3.706
Rh 3.126 1.361 2.317
Rh 0.223 0.000 4.403
Rh 6.030 0.000 0.231
Rh 3.126 -1.361 2.317
```

Its space group is No. 12. The calculation puts the magnetization at 0.00 μB/f.u. The value obtained for the polymorph energy (0 for the lowest one) is 0 meV per atom.

---

# 5
Here is UZnPdRh after structural relaxation from Alexandria. Energies are from PBE.

```
4
Lattice="0.000 3.291 3.291 3.291 0.000 3.291 3.291 3.291 0.000" Properties=species:S:1:pos:R:3 pbc="T T T"
U 0.000 0.000 0.000
Zn 3.291 3.291 3.291
Pd 1.645 1.645 1.645
Rh 4.936 4.936 4.936
```

As for the total energy: -26.54 eV/f.u. Its space group is No. 216. The calculation puts the magnetization at 1.98 μB/f.u.

---

# 6
Here is YPuGaSn after structural relaxation from Alexandria. Energies are from PBE.

```
4
Lattice="0.000 3.694 3.694 3.694 0.000 3.694 3.694 3.694 0.000" Properties=species:S:1:pos:R:3 pbc="T T T"
Y 0.000 0.000 0.000
Pu 3.694 3.694 3.694
Ga 5.540 5.540 5.540
Sn 1.847 1.847 1.847
```

As for the total energy: -29.49 eV/f.u. Its space group is No. 216. The calculation puts the magnetization at 5.85 μB/f.u.

---

# 7
Here is La2PmTm3Se6 after structural relaxation from Alexandria. Energies are from PBE.

```
12
Lattice="9.132 -2.035 0.000 9.132 2.035 0.000 -2.317 0.000 8.136" Properties=species:S:1:pos:R:3 pbc="T T T"
La 2.258 0.000 2.696
La 13.689 0.000 5.440
Pm 9.132 0.000 0.000
Tm 1.126 0.000 6.776
Tm 7.974 0.000 4.068
Tm 14.821 0.000 1.360
Se -1.603 0.000 6.027
Se 3.864 0.000 7.590
Se 5.249 0.000 3.283
Se 10.698 0.000 4.853
Se 12.083 0.000 0.545
Se 17.550 0.000 2.108
```

The formation energy from raw total energies comes out at -1.813 eV/atom. Its space group is No. 12. The calculation puts the magnetization at 0.00 μB/f.u.

---

# 8
Here is Pm3Nd2Y2 after structural relaxation from Alexandria. Energies are from PBE.

```
7
Lattice="8.859 -1.773 0.000 8.859 1.773 0.000 -4.277 0.000 7.678" Properties=species:S:1:pos:R:3 pbc="T T T"
Pm 0.000 0.000 0.000
Pm 2.473 0.000 2.340
Pm 10.968 0.000 5.338
Nd -0.944 0.000 6.334
Nd 14.386 0.000 1.344
Y 5.175 0.000 4.564
Y 8.266 0.000 3.114
```

Its space group is No. 12. The calculation puts the magnetization at 0.00 μB/f.u. The value obtained for the polymorph energy (0 for the lowest one) is 86 meV per atom.

---

# 9
Here is Ce3As4Pt3 after structural relaxation from Alexandria. Energies are from PBE.

```
20
Lattice="-4.740 4.740 4.740 4.740 -4.740 4.740 4.740 4.740 -4.740" Properties=species:S:1:pos:R:3 pbc="T T T"
Ce 7.109 1.185 0.000
Ce 3.555 0.000 2.370
Ce 2.370 3.555 0.000
Ce 0.000 2.370 3.555
Ce 1.185 0.000 7.109
Ce 0.000 7.109 1.185
As 3.938 0.802 -0.802
As 6.308 -1.568 1.568
As 0.802 0.802 0.802
As 0.802 -0.802 3.938
As -0.802 3.938 0.802
As 1.568 6.308 -1.568
As 3.172 3.172 3.172
As -1.568 1.568 6.308
Pt 4.740 -2.370 3.555
Pt 3.555 4.740 -2.370
Pt 4.740 2.370 1.185
Pt 2.370 1.185 4.740
Pt 1.185 4.740 2.370
Pt -2.370 3.555 4.740
```

As for the total energy: -65.52 eV/f.u. Its space group is No. 220. The calculation puts the magnetization at 0.41 μB/f.u.

---

# 10
Here is Cr2NiAuN after structural relaxation from Alexandria. Energies are from PBE.

```
5
Lattice="3.930 0.000 0.000 0.000 3.930 0.000 0.000 0.000 3.923" Properties=species:S:1:pos:R:3 pbc="T T T"
Cr 0.000 1.965 0.000
Cr 1.965 0.000 0.000
Ni 0.000 0.000 1.961
Au 1.965 1.965 1.961
N 0.000 0.000 0.000
```

The formation energy from raw total energies comes out at -0.100 eV/atom. Its space group is No. 123. The calculation puts the magnetization at 4.83 μB/f.u.

---

# 11
Here is NiAgPd2 after structural relaxation from Alexandria. Energies are from PBE.

```
8
Lattice="-1.889 1.889 9.221 1.889 -1.889 9.221 1.889 1.889 -9.221" Properties=species:S:1:pos:R:3 pbc="T T T"
Ni 0.000 0.000 0.000
Ni 0.000 1.889 4.610
Ag 1.889 0.000 4.610
Ag 0.000 0.000 9.221
Pd 2.834 0.901 -2.305
Pd 0.901 0.945 2.305
Pd -0.945 0.988 6.916
Pd 0.988 0.945 11.526
```

Its space group is No. 122. The calculation puts the magnetization at 0.88 μB/f.u. The value obtained for the polymorph energy (0 for the lowest one) is 396 meV per atom.

---

# 12
Here is ScTlRu2O8 after structural relaxation from Alexandria. Energies are from PBE.

```
12
Lattice="4.637 -2.958 0.000 4.637 2.958 0.000 -0.436 0.000 8.124" Properties=species:S:1:pos:R:3 pbc="T T T"
Sc 0.000 0.000 0.000
Tl -0.218 0.000 4.062
Ru 3.316 0.000 1.738
Ru 5.522 0.000 6.386
O 2.024 0.000 0.492
O 4.319 1.493 1.508
O 4.518 1.493 6.616
O 2.666 0.000 3.366
O 6.171 0.000 4.758
O 4.319 -1.493 1.508
O 4.518 -1.493 6.616
O 6.813 0.000 7.632
```

The formation energy from raw total energies comes out at -1.289 eV/atom. Its space group is No. 12. The calculation puts the magnetization at 3.99 μB/f.u.

---

> Number 10 is which compound?

Cr2NiAuN